Entry i
## Be2BrCl (PBE)

Data for crystalline Be2BrCl at its relaxed geometry.

extended XYZ file:
```
4
Lattice="4.7793 -4.1081 0.0000 4.7793 4.1081 0.0000 -1.1153 0.0000 3.1017" Properties=species:S:1:pos:R:3 pbc="T T T"
Be 0.0000 0.0000 0.0000
Be 1.9543 0.0000 0.7070
Br 2.7274 0.0000 2.7359
Cl 7.8491 0.0000 1.1374
```

Calculated values
Symmetry   Cm
ρ   1.818 g/cm3
DOS at the Fermi energy   0.000 states/eV per atom

Entry ii
## Be2BrCl (PBE)

Data for crystalline Be2BrCl at its relaxed geometry.

extended XYZ file:
```
8
Lattice="-2.3349 2.3349 7.1383 2.3349 -2.3349 7.1383 2.3349 2.3349 -7.1383" Properties=species:S:1:pos:R:3 pbc="T T T"
Be 0.4969 1.1674 1.7846
Be -1.1674 1.8380 5.3537
Be -0.4969 3.5023 1.7846
Be 1.1674 2.8318 5.3537
Br 2.3349 0.0000 3.5692
Br 0.0000 0.0000 7.1383
Cl 0.0000 0.0000 0.0000
Cl 0.0000 2.3349 3.5692
```

Calculated values
Symmetry   I-42d
ρ   2.846 g/cm3
DOS at the Fermi energy   0.000 states/eV per atom

What should be chosen as the most stable of them? Choose entry i.

Entry i
## Be2BrCl (PBE)

Data for crystalline Be2BrCl at its relaxed geometry.

extended XYZ file:
```
4
Lattice="-1.6420 3.1862 3.4529 1.6420 -3.1862 3.4529 1.6420 3.1862 -3.4529" Properties=species:S:1:pos:R:3 pbc="T T T"
Be 0.0000 0.0000 1.6573
Be 0.0000 0.0000 5.2484
Br 0.0000 3.1862 0.0000
Cl 1.6420 0.0000 0.0000
```

Calculated values
Symmetry   Immm
ρ   3.065 g/cm3
DOS at the Fermi energy   0.424 states/eV per atom

Entry ii
## Be2BrCl (PBE)

Data for crystalline Be2BrCl at its relaxed geometry.

extended XYZ file:
```
4
Lattice="1.5507 -3.4899 0.0000 1.5507 3.4899 0.0000 0.0000 0.0000 8.9180" Properties=species:S:1:pos:R:3 pbc="T T T"
Be 0.0000 0.0000 0.0000
Be 1.5507 0.0000 2.0043
Br 0.0000 0.0000 3.5288
Cl 1.5507 0.0000 7.5681
```

Calculated values
Symmetry   Cmm2
ρ   2.295 g/cm3
DOS at the Fermi energy   0.095 states/eV per atom

Entry iii
## Be2BrCl (PBE)

Data for crystalline Be2BrCl at its relaxed geometry.

extended XYZ file:
```
4
Lattice="1.6421 -3.2478 0.0000 1.6421 3.2478 0.0000 0.0000 0.0000 6.8919" Properties=species:S:1:pos:R:3 pbc="T T T"
Be 0.0000 0.0000 1.6769
Be 0.0000 0.0000 5.2150
Br 1.6421 0.0000 3.4459
Cl 1.6421 0.0000 0.0000
```

Calculated values
Symmetry   Cmmm
ρ   3.013 g/cm3
DOS at the Fermi energy   0.462 states/eV per atom

What should be chosen as the most stable of them? Choose entry ii.

Entry i
## Be2BrCl (PBE)

Data for crystalline Be2BrCl at its relaxed geometry.

extended XYZ file:
```
4
Lattice="0.0000 3.1529 3.1529 3.1529 0.0000 3.1529 3.1529 3.1529 0.0000" Properties=species:S:1:pos:R:3 pbc="T T T"
Be 1.5765 1.5765 1.5765
Be 4.7294 4.7294 4.7294
Br 0.0000 0.0000 0.0000
Cl 3.1529 3.1529 3.1529
```

Calculated values
Symmetry   Fm-3m
ρ   3.533 g/cm3
DOS at the Fermi energy   0.376 states/eV per atom

Entry ii
## Be2BrCl (PBE)

Data for crystalline Be2BrCl at its relaxed geometry.

extended XYZ file:
```
4
Lattice="1.9173 1.1070 5.2731 -1.9173 1.1070 5.2731 0.0000 -2.2139 5.2731" Properties=species:S:1:pos:R:3 pbc="T T T"
Be 0.0000 0.0000 3.8276
Be 0.0000 0.0000 11.9916
Br 0.0000 0.0000 0.0000
Cl 0.0000 0.0000 7.9096
```

Calculated values
Symmetry   R-3m
ρ   3.298 g/cm3
DOS at the Fermi energy   0.497 states/eV per atom

What should be chosen as the most stable of them? Choose entry ii.

Entry i
## Be2BrCl (PBE)

Data for crystalline Be2BrCl at its relaxed geometry.

extended XYZ file:
```
4
Lattice="4.9609 0.0000 0.0000 0.0000 3.2347 0.0000 -1.0238 0.0000 5.1321" Properties=species:S:1:pos:R:3 pbc="T T T"
Be 0.3111 0.0000 1.9142
Be 3.6260 0.0000 3.2179
Br 0.0000 1.6173 0.0000
Cl 1.9685 1.6173 2.5661
```

Calculated values
Symmetry   P2/m
ρ   2.689 g/cm3
DOS at the Fermi energy   0.052 states/eV per atom

Entry ii
## Be2BrCl (PBE)

Data for crystalline Be2BrCl at its relaxed geometry.

extended XYZ file:
```
4
Lattice="3.0498 0.0000 0.0000 0.0000 3.0498 0.0000 0.0000 0.0000 8.4466" Properties=species:S:1:pos:R:3 pbc="T T T"
Be 0.0000 0.0000 0.0000
Be 1.5249 1.5249 2.0282
Br 0.0000 0.0000 3.3354
Cl 1.5249 1.5249 7.1906
```

Calculated values
Symmetry   P4mm
ρ   2.819 g/cm3
DOS at the Fermi energy   0.358 states/eV per atom

What should be chosen as the most stable of them? Choose entry i.

Entry i
## Be2BrCl (PBE)

Data for crystalline Be2BrCl at its relaxed geometry.

extended XYZ file:
```
4
Lattice="5.0438 -1.5345 0.0000 5.0438 1.5345 0.0000 -4.1628 0.0000 5.1441" Properties=species:S:1:pos:R:3 pbc="T T T"
Be -0.2928 0.0000 2.0103
Be 6.2175 0.0000 3.1338
Br 5.0438 0.0000 0.0000
Cl 2.9624 0.0000 2.5721
```

Calculated values
Symmetry   C2/m
ρ   2.781 g/cm3
DOS at the Fermi energy   0.253 states/eV per atom

Entry ii
## Be2BrCl (PBE)

Data for crystalline Be2BrCl at its relaxed geometry.

extended XYZ file:
```
4
Lattice="0.0000 3.2911 3.3125 3.1701 0.0000 3.3125 3.1701 3.2911 0.0000" Properties=species:S:1:pos:R:3 pbc="T T T"
Be 3.1701 1.6455 1.6562
Be 0.0000 1.6455 1.6562
Br 0.0000 0.0000 0.0000
Cl 3.1701 3.2911 3.3125
```

Calculated values
Symmetry   Fmmm
ρ   3.204 g/cm3
DOS at the Fermi energy   0.408 states/eV per atom

Entry iii
## Be2BrCl (PBE)

Data for crystalline Be2BrCl at its relaxed geometry.

extended XYZ file:
```
4
Lattice="3.2995 0.0000 0.0000 0.0000 3.4500 0.0000 0.0000 0.0000 6.4314" Properties=species:S:1:pos:R:3 pbc="T T T"
Be 0.0000 0.0000 0.0000
Be 1.6497 0.0000 3.2157
Br 0.0000 1.7250 3.2157
Cl 1.6497 1.7250 0.0000
```

Calculated values
Symmetry   Pmmm
ρ   3.025 g/cm3
DOS at the Fermi energy   0.472 states/eV per atom

What should be chosen as the most stable of them? Choose entry i.

Entry i
## Be2BrCl (PBE)

Data for crystalline Be2BrCl at its relaxed geometry.

extended XYZ file:
```
4
Lattice="4.4518 0.0000 0.0000 0.0000 3.1351 0.0000 -1.9967 0.0000 6.4535" Properties=species:S:1:pos:R:3 pbc="T T T"
Be 0.0000 0.0000 0.0000
Be -0.1363 1.5675 6.1119
Br 1.0377 0.0000 4.6811
Cl 3.2785 1.5675 1.1921
```

Calculated values
Symmetry   Pm
ρ   2.459 g/cm3
DOS at the Fermi energy   0.208 states/eV per atom

Entry ii
## Be2BrCl (PBE)

Data for crystalline Be2BrCl at its relaxed geometry.

extended XYZ file:
```
4
Lattice="4.4492 0.0000 0.0000 0.0000 4.4492 0.0000 0.0000 0.0000 3.1844" Properties=species:S:1:pos:R:3 pbc="T T T"
Be 0.0000 2.2246 0.0000
Be 2.2246 0.0000 0.0000
Br 0.0000 0.0000 1.5922
Cl 2.2246 2.2246 1.5922
```

Calculated values
Symmetry   P4/mmm
ρ   3.514 g/cm3
DOS at the Fermi energy   0.496 states/eV per atom

Entry iii
## Be2BrCl (PBE)

Data for crystalline Be2BrCl at its relaxed geometry.

extended XYZ file:
```
4
Lattice="0.0000 3.3526 3.3526 3.3526 0.0000 3.3526 3.3526 3.3526 0.0000" Properties=species:S:1:pos:R:3 pbc="T T T"
Be 0.0000 0.0000 0.0000
Be 1.6763 1.6763 1.6763
Br 5.0289 5.0289 5.0289
Cl 3.3526 3.3526 3.3526
```

Calculated values
Symmetry   F-43m
ρ   2.939 g/cm3
DOS at the Fermi energy   0.891 states/eV per atom

What should be chosen as the most stable of them? Choose entry i.